# 1
# TlAgAs2

A relaxed structure of TlAgAs2 (PBE, Alexandria via LeMat-Bulk).

Cell and atoms, written as CIF:
```
data_TlAgAs2
_symmetry_space_group_name_H-M 'P 4 m m'
_symmetry_Int_Tables_number 99
_cell_length_a 3.502
_cell_length_b 3.502
_cell_length_c 7.412
_cell_angle_alpha 90.00
_cell_angle_beta 90.00
_cell_angle_gamma 90.00
loop_
_symmetry_equiv_pos_as_xyz
'x,y,z'
'-y,x,z'
'-x,-y,z'
'y,-x,z'
'-x,y,z'
'y,x,z'
'x,-y,z'
'-y,-x,z'
loop_
_atom_site_label
_atom_site_type_symbol
_atom_site_fract_x
_atom_site_fract_y
_atom_site_fract_z
Tl1 Tl 0.000 0.000 0.000
Ag1 Ag 0.500 0.500 0.271
As1 As 0.000 0.000 0.509
As2 As 0.500 0.500 0.657
```

---

# 2
# YZn2HgOs

A relaxed structure of YZn2HgOs (PBE, Alexandria via LeMat-Bulk).

Cell and atoms, written as CIF:
```
data_YZn2HgOs
_symmetry_space_group_name_H-M 'P 4/m m m'
_symmetry_Int_Tables_number 123
_symmetry_space_group_name_Hall '-P 4 2'
_cell_length_a 4.765
_cell_length_b 4.765
_cell_length_c 5.157
_cell_angle_alpha 90.00
_cell_angle_beta 90.00
_cell_angle_gamma 90.00
loop_
_atom_site_label
_atom_site_type_symbol
_atom_site_fract_x
_atom_site_fract_y
_atom_site_fract_z
Y1 Y 0.000 0.000 0.000
Zn1 Zn 0.000 0.500 0.500
Hg1 Hg 0.500 0.500 0.000
Os1 Os 0.500 0.500 0.500
```

---

# 3
# Y2ThSc3

A relaxed structure of Y2ThSc3 (PBE, Alexandria via LeMat-Bulk).

Cell and atoms, written as CIF:
```
data_Y2ThSc3
_symmetry_space_group_name_H-M 'I b a m'
_symmetry_Int_Tables_number 72
_symmetry_space_group_name_Hall '-I 2 2c'
_cell_length_a 11.181
_cell_length_b 11.203
_cell_length_c 6.313
_cell_angle_alpha 90.00
_cell_angle_beta 90.00
_cell_angle_gamma 90.00
loop_
_atom_site_label
_atom_site_type_symbol
_atom_site_fract_x
_atom_site_fract_y
_atom_site_fract_z
Y1 Y 0.242 0.169 0.000
Th1 Th 0.000 0.500 0.000
Sc1 Sc 0.000 0.000 0.250
Sc2 Sc 0.000 0.260 0.250
```

---

Number 1: ρ 8.44 g cm⁻³, formation energy 0.1976 eV per atom. Number 2: ρ 8.66 g cm⁻³, formation energy 0.3184 eV per atom. Number 3: ρ 4.58 g cm⁻³, formation energy 0.5772 eV per atom.